VASP calculation (SCAN) on a crystal of Os relaxed with PBEsol.

The structure in POSCAR format:
```
Os
1.0
5.514 0.000 0.000
0.000 5.514 0.000
0.000 0.000 5.514
Os
8
direct
0.125 0.125 0.125
0.125 0.625 0.625
0.375 0.375 0.875
0.375 0.875 0.375
0.625 0.125 0.625
0.625 0.625 0.125
0.875 0.375 0.375
0.875 0.875 0.875
```

* ΔE_f: 117 kJ/mol of formula units
* space-group type: Fd-3m (227)
* polymorph energy (0 for the lowest one): 1.217 eV per atom